This record from the Alexandria database describes an optimized crystal structure of ScAlCl2. The functional is GGA-PBE.

## Properties
space-group type	R-3m, No. 166
ΔE to the lowest computed polymorph	0	meV/atom
total magnetization	0.00	μB/f.u.

Structure (POSCAR):
```
ScAlCl2
1.0
3.365 0.000 0.000
-1.682 2.914 0.000
0.000 0.000 28.655
Sc Al Cl
3 3 6
direct
0.000 0.000 0.000
0.333 0.667 0.667
0.667 0.333 0.333
0.000 0.000 0.500
0.333 0.667 0.167
0.667 0.333 0.833
0.000 0.000 0.392
0.000 0.000 0.608
0.333 0.667 0.059
0.333 0.667 0.275
0.667 0.333 0.725
0.667 0.333 0.941
```